## AcTb2PmBi4 (GGA-PBE)

Data for crystalline AcTb2PmBi4 at its relaxed geometry.

DFT total energy   -5.112 eV per atom
Energy relative to the elements   -0.91 eV per atom

```
data_AcTb2PmBi4
_symmetry_space_group_name_H-M 'P 1 2/m 1'
_symmetry_Int_Tables_number 10
_cell_length_a 7.9867
_cell_length_b 4.6193
_cell_length_c 7.9982
_cell_angle_alpha 90.00
_cell_angle_beta 109.46
_cell_angle_gamma 90.00
loop_
_symmetry_equiv_pos_as_xyz
'x,y,z'
'-x,-y,-z'
'-x,y,-z'
'x,-y,z'
loop_
_atom_site_label
_atom_site_fract_x
_atom_site_fract_y
_atom_site_fract_z
Ac1 0.0000 0.0000 0.0000
Tb1 0.5000 0.0000 0.5000
Tb2 0.5000 0.5000 0.0000
Pm1 0.0000 0.5000 0.5000
Bi1 0.2612 0.0000 0.7466
Bi2 0.2667 0.5000 0.2629
```